HgSb3 (GGA-PBE, relaxed); energy relative to the elements, uncorrected = 0.14 eV per atom; relative energy among the computed polymorphs = 0.012 eV/atom; Fermi-level density of states = 1.88 states/eV/f.u.
1.0
3.273 0.000 0.000
0.000 6.114 0.000
0.000 0.000 5.621
Sb Hg
3 1
direct
0.500 0.000 0.666
0.500 0.500 0.667
0.000 0.500 0.167
0.000 0.000 0.166

Hg3Sb (GGA-PBE, relaxed); energy relative to the elements, uncorrected = 0.13 eV per atom; relative energy among the computed polymorphs = 0.040 eV/atom; Fermi-level density of states = 1.49 states/eV/f.u.
1.0
-2.928 2.928 3.089
2.928 -2.928 3.089
2.928 2.928 -3.089
Hg Sb
3 1
direct
0.750 0.250 0.500
0.250 0.750 0.500
0.500 0.500 0.000
0.000 0.000 0.000

Hg8Sb (GGA-PBE, relaxed); energy relative to the elements, uncorrected = 0.08 eV per atom; Fermi-level density of states = 3.72 states/eV/f.u.
1.0
-1.844 4.311 5.323
-3.462 -1.868 -5.903
0.011 -6.215 3.419
Hg Sb
8 1
direct
0.665 0.000 0.665
0.000 0.665 0.665
0.000 0.335 0.335
0.666 0.666 0.332
0.334 0.666 0.000
0.335 0.000 0.335
0.666 0.334 0.000
0.334 0.334 0.668
0.000 0.000 0.000

HgSb3 (GGA-PBE, relaxed); energy relative to the elements, uncorrected = 0.20 eV per atom; relative energy among the computed polymorphs = 0.078 eV/atom; Fermi-level density of states = 1.60 states/eV/f.u.
1.0
5.329 0.000 0.000
2.665 4.615 0.000
2.665 1.538 4.351
Sb Hg
3 1
direct
0.750 0.750 0.750
0.500 0.500 0.500
0.250 0.250 0.250
0.000 0.000 0.000

HgSb5 (GGA-PBE, relaxed); energy relative to the elements, uncorrected = 0.27 eV per atom; relative energy among the computed polymorphs = 0.220 eV/atom; Fermi-level density of states = 3.98 states/eV/f.u.
1.0
-1.137 -0.598 2.869
-0.098 -3.067 -0.679
15.927 -1.821 5.931
Sb Hg
5 1
direct
0.500 0.500 0.664
0.000 0.000 0.173
0.500 0.500 0.336
0.000 0.000 0.827
0.000 0.000 0.500
0.500 0.500 0.000

HgSb2 (GGA-PBE, relaxed); energy relative to the elements, uncorrected = 0.15 eV per atom; relative energy among the computed polymorphs = 0.117 eV/atom; Fermi-level density of states = 1.15 states/eV/f.u.
1.0
2.063 -10.546 0.000
2.063 10.546 0.000
0.000 0.000 4.068
Sb Hg
4 2
direct
0.549 0.451 0.250
0.724 0.276 0.750
0.276 0.724 0.250
0.451 0.549 0.750
0.112 0.888 0.750
0.888 0.112 0.250